1.
First-principles (meta-GGA SCAN) data for a crystal of ZnRhO2 relaxed with PBEsol, as listed in Alexandria.

Cell: 6.2769 6.2769 6.2769 Å, 28.22 28.22 28.22°
Fractional positions:
Zn  0.0000  0.0000  0.0000
Rh  0.5000  0.5000  0.5000
O  0.1111  0.1111  0.1111
O  0.8889  0.8889  0.8889



2.
First-principles (meta-GGA SCAN) data for a crystal of ZrRhO2 relaxed with PBEsol, as listed in Alexandria.

Cell: 3.9356 3.9356 3.9356 Å, 60.00 60.00 60.00°
Fractional positions:
Zr  0.0000  0.0000  0.0000
Rh  0.5000  0.5000  0.5000
O  0.2500  0.2500  0.2500
O  0.7500  0.7500  0.7500



3.
First-principles (meta-GGA SCAN) data for a crystal of ZrRhO3 relaxed with PBEsol, as listed in Alexandria.

Cell: 4.0721 4.0721 4.0721 Å, 90.00 90.00 90.00°
Fractional positions:
Zr  0.0000  0.0000  0.0000
Rh  0.5000  0.5000  0.5000
O  0.0000  0.0000  0.5000
O  0.0000  0.5000  0.0000
O  0.5000  0.0000  0.0000



4.
First-principles (meta-GGA SCAN) data for a crystal of RuO2 relaxed with PBEsol, as listed in Alexandria.

Cell: 4.4641 4.4641 3.0953 Å, 90.00 90.00 90.00°
Fractional positions:
Ru  0.0000  0.0000  0.0000
Ru  0.5000  0.5000  0.5000
O  0.1938  0.1938  0.5000
O  0.3062  0.6938  0.0000
O  0.6938  0.3062  0.0000
O  0.8062  0.8062  0.5000



5.
First-principles (meta-GGA SCAN) data for a crystal of RuO2 relaxed with PBEsol, as listed in Alexandria.

Cell: 4.8175 4.8175 4.8175 Å, 90.00 90.00 90.00°
Fractional positions:
Ru  0.0000  0.0000  0.0000
Ru  0.0000  0.5000  0.5000
Ru  0.5000  0.0000  0.5000
Ru  0.5000  0.5000  0.0000
O  0.1490  0.6490  0.8510
O  0.1490  0.8510  0.3510
O  0.3510  0.1490  0.8510
O  0.3510  0.3510  0.3510
O  0.6490  0.6490  0.6490
O  0.6490  0.8510  0.1490
O  0.8510  0.1490  0.6490
O  0.8510  0.3510  0.1490



6.
First-principles (meta-GGA SCAN) data for a crystal of RuS2O relaxed with PBEsol, as listed in Alexandria.

Cell: 5.8261 5.8261 5.8261 Å, 36.14 36.14 36.14°
Fractional positions:
Ru  0.0000  0.0000  0.0000
S  0.3977  0.3977  0.3977
S  0.6023  0.6023  0.6023
O  0.5000  0.5000  0.5000



7.
First-principles (meta-GGA SCAN) data for a crystal of Ru3SeO relaxed with PBEsol, as listed in Alexandria.

Cell: 4.4908 4.4908 4.4908 Å, 90.00 90.00 90.00°
Fractional positions:
Ru  0.0000  0.0000  0.5000
Ru  0.0000  0.5000  0.0000
Ru  0.5000  0.0000  0.0000
Se  0.0000  0.0000  0.0000
O  0.5000  0.5000  0.5000



8.
First-principles (meta-GGA SCAN) data for a crystal of RuSeO3 relaxed with PBEsol, as listed in Alexandria.

Cell: 3.9040 3.9040 3.9040 Å, 90.00 90.00 90.00°
Fractional positions:
Ru  0.0000  0.0000  0.0000
Se  0.5000  0.5000  0.5000
O  0.0000  0.5000  0.5000
O  0.5000  0.0000  0.5000
O  0.5000  0.5000  0.0000



no.,ΔE_f (raw) (meV per atom),density of states at the Fermi level (states/eV per cell)
1,-815.9,2.21
2,-1425.2,2.30
3,-1672.1,1.57
4,-1206.6,3.08
5,-1137.6,5.56
6,-304.4,0.06
7,1611.7,2.82
8,207.2,3.80